(1)
# LaWBr

A PBEsol-optimized structure of LaWBr (meta-GGA SCAN, Alexandria via LeMat-Bulk).

Calculated values
The space group is No. 107. Its total magnetization is 0.000 μB per formula unit. As for the density of states at the Fermi level: 0.582 states/eV per atom. For the formation energy (no corrections), the calculation gives 0.635 eV/atom. For the calculated volume, the calculation gives 64.4 Å³/f.u.

abc: 3.264 3.264 6.471
angles: 104.61 104.61 90.00
Element x y z (fractional)
1 La 0.675 0.675 0.350
2 W 0.356 0.356 0.713
3 Br 0.969 0.969 0.937

---

(2)
# LaY2Br

A PBEsol-optimized structure of LaY2Br (meta-GGA SCAN, Alexandria via LeMat-Bulk).

Calculated values
The space group is No. 139. Its total magnetization is 0.003 μB per formula unit. As for the density of states at the Fermi level: 1.353 states/eV per atom. For the formation energy (no corrections), the calculation gives -0.105 eV/atom. For the calculated volume, the calculation gives 115.2 Å³/f.u.

abc: 4.602 4.602 6.338
angles: 111.29 111.29 90.00
Element x y z (fractional)
1 Br 0.500 0.500 0.000
2 La 0.000 0.000 0.000
3 Y 0.750 0.250 0.500
4 Y 0.250 0.750 0.500

---

(3)
# La2YBr

A PBEsol-optimized structure of La2YBr (meta-GGA SCAN, Alexandria via LeMat-Bulk).

Calculated values
The space group is No. 6. Its total magnetization is 0.000 μB per formula unit. As for the density of states at the Fermi level: 1.099 states/eV per atom. For the formation energy (no corrections), the calculation gives -0.526 eV/atom. For the calculated volume, the calculation gives 128.8 Å³/f.u.

abc: 3.630 5.957 5.957
angles: 90.00 90.00 90.04
Element x y z (fractional)
1 Y 0.500 0.625 0.000
2 La 0.060 0.125 0.000
3 Br 0.999 0.125 0.500
4 La 0.940 0.625 0.500